## Li2HoZn2Sn2 (PBE-GGA)

Data for a relaxed structure of Li2HoZn2Sn2.

abc: 4.458 4.458 8.538
angles: 74.87 74.87 60.00
Positions (direct):
Li  0.142  0.142  0.575
Li  0.858  0.858  0.425
Ho  0.000  0.000  0.000
Zn  0.555  0.555  0.335
Zn  0.445  0.445  0.665
Sn  0.740  0.740  0.780
Sn  0.260  0.260  0.220

Results
Electronic total energy in eV per cell: -21.80
Energy of formation in eV per formula unit: -2.84
Crystal system: trigonal


## Na4PuBi5 (PBE-GGA)

Data for a relaxed structure of Na4PuBi5.

abc: 3.449 3.449 24.553
angles: 90.00 90.00 90.00
Each line ends with the local moment (μB).
Positions (direct):
Na  0.000  0.000  0.201  0.00
Na  0.000  0.000  0.400  0.00
Na  0.000  0.000  0.600  0.00
Na  0.000  0.000  0.799  0.00
Pu  0.000  0.000  0.000  5.62
Bi  0.500  0.500  0.098  -0.07
Bi  0.500  0.500  0.299  0.01
Bi  0.500  0.500  0.500  0.01
Bi  0.500  0.500  0.701  0.01
Bi  0.500  0.500  0.902  -0.07

Results
Electronic total energy in eV per cell: -42.25
Energy of formation in eV per formula unit: -3.24
Crystal system: tetragonal


## Al2ReNi (PBE-GGA)

Data for a relaxed structure of Al2ReNi.

abc: 2.702 3.834 5.297
angles: 90.00 90.00 90.00
Positions (direct):
Re  0.500  0.500  0.765
Al  0.000  0.000  0.987
Al  0.500  0.500  0.275
Ni  0.000  0.000  0.474

Results
Electronic total energy in eV per cell: -26.43
Energy of formation in eV per formula unit: -0.72
Crystal system: orthorhombic
ΔE to the lowest computed polymorph in eV per atom: 0.193


## InCo2As (PBE-GGA)

Data for a relaxed structure of InCo2As.

abc: 4.468 4.468 4.468
angles: 60.00 60.00 60.00
Each line ends with the local moment (μB).
Positions (direct):
As  0.500  0.500  0.500  0.06
Co  0.000  0.000  0.000  1.49
Co  0.250  0.250  0.250  1.71
In  0.750  0.750  0.750  -0.03

Results
Electronic total energy in eV per cell: -19.61
Energy of formation in eV per formula unit: 1.99
Crystal system: cubic
ΔE to the lowest computed polymorph in eV per atom: 0.471


## K4Pu3TlSe8 (PBE-GGA)

Data for a relaxed structure of K4Pu3TlSe8.

abc: 8.697 9.074 8.697
angles: 118.63 120.00 90.00
Each line ends with the local moment (μB).
Positions (direct):
K  0.500  0.000  0.000  0.00
K  0.500  0.000  0.500  0.00
K  0.000  0.000  0.000  0.00
K  0.000  0.000  0.500  0.00
Pu  0.500  0.500  0.000  -4.92
Pu  0.500  0.500  0.500  -4.92
Pu  0.000  0.500  0.500  -4.92
Tl  0.000  0.500  0.000  0.03
Se  0.246  0.703  0.957  0.14
Se  0.246  0.703  0.493  0.14
Se  0.265  0.296  0.531  0.12
Se  0.710  0.703  0.957  0.14
Se  0.290  0.297  0.043  0.14
Se  0.735  0.704  0.469  0.12
Se  0.754  0.297  0.507  0.14
Se  0.754  0.297  0.043  0.14

Results
Electronic total energy in eV per cell: -97.85
ΔE_f (raw) in meV/atom: -1264
Crystal system: trigonal


## Mg2CoSe (PBE-GGA)

Data for a relaxed structure of Mg2CoSe.

abc: 4.650 4.650 4.650
angles: 60.00 60.00 60.00
Each line ends with the local moment (μB).
Positions (direct):
Mg  0.250  0.250  0.250  -0.02
Mg  0.750  0.750  0.750  -0.02
Co  0.000  0.000  0.000  1.21
Se  0.500  0.500  0.500  0.02

Results
Electronic total energy in eV per cell: -13.56
ΔE_f (raw) in meV/atom: 54
Crystal system: cubic
ΔE to the lowest computed polymorph in eV per atom: 0.352


## POsSe4 (PBE-GGA)

Data for a relaxed structure of POsSe4.

abc: 5.515 5.515 5.515
angles: 60.00 60.00 60.00
Each line ends with the local moment (μB).
Positions (direct):
P  0.000  0.000  0.000  -0.17
Os  0.750  0.750  0.750  2.22
Se  0.872  0.376  0.376  0.03
Se  0.376  0.376  0.872  0.03
Se  0.376  0.872  0.376  0.03
Se  0.376  0.376  0.376  0.03

Results
Electronic total energy in eV per cell: -21.24
ΔE_f (raw) in meV/atom: 1556
Crystal system: cubic


## TaCu2P (PBE-GGA)

Data for a relaxed structure of TaCu2P.

abc: 4.856 4.856 2.782
angles: 90.00 90.00 118.53
Positions (direct):
Cu  0.000  0.000  0.000
Cu  0.500  0.500  0.000
P  0.500  0.000  0.500
Ta  0.000  0.500  0.500

Results
Electronic total energy in eV per cell: -25.08
Energy of formation in eV per formula unit: 0.38
Crystal system: orthorhombic


## Re12W17 (PBE-GGA)

Data for a relaxed structure of Re12W17.

abc: 8.441 8.441 8.441
angles: 109.47 109.47 109.47
Positions (direct):
Re  0.192  0.816  0.192
Re  0.376  0.184  0.376
Re  0.808  0.000  0.624
Re  0.624  0.000  0.808
Re  0.808  0.624  0.000
Re  0.624  0.808  0.000
Re  0.376  0.376  0.184
Re  0.192  0.192  0.816
Re  0.000  0.624  0.808
Re  0.000  0.808  0.624
Re  0.816  0.192  0.192
Re  0.184  0.376  0.376
W  0.685  0.282  0.685
W  0.403  0.718  0.403
W  0.315  0.000  0.597
W  0.597  0.000  0.315
W  0.315  0.597  0.000
W  0.597  0.315  0.000
W  0.403  0.403  0.718
W  0.685  0.685  0.282
W  0.000  0.597  0.315
W  0.000  0.315  0.597
W  0.282  0.685  0.685
W  0.718  0.403  0.403
W  0.000  0.354  0.000
W  0.646  0.646  0.646
W  0.000  0.000  0.354
W  0.354  0.000  0.000
W  0.000  0.000  0.000

Results
Electronic total energy in eV per cell: -367.89
Energy of formation in eV per formula unit: 1.70
Crystal system: cubic


## HfS4 (PBE-GGA)

Data for a relaxed structure of HfS4.

abc: 4.570 4.570 5.031
angles: 87.51 87.51 65.89
Positions (direct):
Hf  0.000  0.000  0.000
S  0.135  0.135  0.529
S  0.865  0.865  0.471
S  0.620  0.620  0.111
S  0.380  0.380  0.889

Results
Electronic total energy in eV per cell: -28.78
ΔE_f (raw) in meV/atom: -463
Crystal system: monoclinic


## Pm3Co7Cu2 (PBE-GGA)

Data for a relaxed structure of Pm3Co7Cu2.

abc: 5.016 5.016 8.906
angles: 73.64 73.64 60.00
Each line ends with the local moment (μB).
Positions (direct):
Pm  0.000  0.000  0.000  -0.18
Pm  0.861  0.861  0.418  -0.23
Pm  0.139  0.139  0.582  -0.23
Co  0.500  0.500  0.500  0.82
Co  0.917  0.419  0.245  1.25
Co  0.419  0.917  0.245  1.25
Co  0.419  0.419  0.245  1.25
Co  0.083  0.581  0.755  1.25
Co  0.581  0.581  0.755  1.25
Co  0.581  0.083  0.755  1.25
Cu  0.667  0.667  0.000  0.03
Cu  0.333  0.333  0.000  0.03

Results
Electronic total energy in eV per cell: -73.19
Energy of formation in eV per formula unit: -1.00
Crystal system: trigonal


## KSb2Pd3 (PBE-GGA)

Data for a relaxed structure of KSb2Pd3.

abc: 4.287 8.678 8.541
angles: 111.86 90.00 104.30
Positions (direct):
K  0.843  0.686  0.941
K  0.157  0.314  0.059
Sb  0.476  0.951  0.809
Sb  0.524  0.049  0.191
Sb  0.816  0.632  0.344
Sb  0.184  0.368  0.656
Pd  0.317  0.634  0.555
Pd  0.958  0.916  0.620
Pd  0.582  0.165  0.648
Pd  0.418  0.835  0.352
Pd  0.042  0.084  0.380
Pd  0.683  0.366  0.445

Results
Electronic total energy in eV per cell: -55.16
ΔE_f (raw) in meV/atom: -443
Crystal system: monoclinic